{
  "formula": "BaNCl2",
  "functional": "GGA-PBE",
  "state": "optimized geometry",
  "lattice_angstrom": [[5.141, 0.000, 0.000], [-2.570, 4.452, 0.000], [0.000, 0.000, 18.864]],
  "species": ["Ba", "Ba", "Ba", "N", "N", "N", "Cl", "Cl", "Cl", "Cl", "Cl", "Cl"],
  "frac_coords": [[0.000, 0.000, 0.000], [0.333, 0.667, 0.667], [0.667, 0.333, 0.333], [0.000, 0.000, 0.500], [0.333, 0.667, 0.167], [0.667, 0.333, 0.833], [0.000, 0.000, 0.385], [0.000, 0.000, 0.615], [0.333, 0.667, 0.052], [0.333, 0.667, 0.281], [0.667, 0.333, 0.719], [0.667, 0.333, 0.948]],
  "polymorph_energy_ev_per_atom": 0.384,
  "dos_at_fermi_per_ev_cell": 9.3,
  "magnetic_moment_mub_per_cell": 3.0,
  "e_form_raw_ev_per_fu": -0.9
}


{
  "formula": "Ba5NbN4Cl2",
  "functional": "GGA-PBE",
  "state": "optimized geometry",
  "lattice_angstrom": [[8.666, 0.000, 0.000], [0.000, 5.311, 3.311], [0.000, -5.311, 3.311]],
  "species": ["Ba", "Ba", "Ba", "Ba", "Ba", "Nb", "N", "N", "N", "N", "Cl", "Cl"],
  "frac_coords": [[0.000, 0.000, 0.000], [0.300, 0.245, 0.599], [0.300, 0.599, 0.245], [0.700, 0.245, 0.599], [0.700, 0.599, 0.245], [0.500, 0.936, 0.936], [0.313, 0.114, 0.114], [0.500, 0.605, 0.914], [0.500, 0.914, 0.605], [0.687, 0.114, 0.114], [0.000, 0.470, 0.924], [0.000, 0.924, 0.470]],
  "dos_at_fermi_per_ev_cell": 2.6,
  "magnetic_moment_mub_per_cell": 0.2,
  "e_form_raw_ev_per_fu": -13.6
}